The following is a DFT calculation (PBE) of crystalline PmSi2NiOs at its relaxed geometry.

VASP energy: -7.272 eV/atom
Crystal system: tetragonal
SG: No. 119
D(E_F): 2.0 states/eV/cell
Formation energy from raw total energies: -0.75 eV per atom

Cell lengths 4.0229, 4.0229, 5.8358 Å; angles 110.16, 110.16, 90.00 degrees
Element x y z (fractional)
Ni  0.2500  0.7500  0.5000
Si  0.6260  0.6260  0.2520
Si  0.3740  0.3740  0.7480
Pm  0.0000  0.0000  0.0000
Os  0.7500  0.2500  0.5000